This record from Alexandria via LeMat-Bulk describes a relaxed structure of Ir2Os. The functional is PBE.

Calculated values
Electronic total energy = -9.622 eV per atom
Distance to the lowest polymorph of the same formula = 9 kJ/mol of formula units
Energy relative to the elements = 0.029 eV/atom
Space group = No. 63

Unit cell a=2.7541 b=7.3028 c=4.3929 alpha=90.00 beta=90.00 gamma=79.13
Fractional positions:
Ir 0.3313 0.3374 0.0000
Ir 0.5538 0.8925 0.5000
Ir 0.0018 0.9964 0.0000
Ir 0.2243 0.5515 0.5000
Os 0.8898 0.2203 0.5000
Os 0.6657 0.6686 0.0000